The following is a DFT calculation (GGA-PBEsol) of SiNi2Os after structural relaxation.

VASP energy = -0.286 hartree per atom
ΔE_f (raw) = -0.211 eV/atom

Cell: 4.778 4.778 4.778 Å, 146.32 129.51 62.07°
Positions (direct):
Si  0.000  0.000  0.000
Ni  0.228  0.728  0.500
Ni  0.772  0.272  0.500
Os  0.500  0.500  0.000



The following is a DFT calculation (GGA-PBEsol) of BeNi2Br after structural relaxation.

VASP energy = -0.161 hartree per atom
relative energy among the computed polymorphs = 0.0 meV/atom
ΔE_f (raw) = 0.155 eV/atom

Cell: 5.703 5.703 5.703 Å, 34.07 34.07 34.07°
Positions (direct):
Be  0.000  0.000  0.000
Ni  0.279  0.279  0.279
Ni  0.721  0.721  0.721
Br  0.500  0.500  0.500



The following is a DFT calculation (GGA-PBEsol) of MnCuTe2 after structural relaxation.

VASP energy = -0.193 hartree per atom
ΔE_f (raw) = 0.031 eV/atom

Cell: 6.840 6.840 6.840 Å, 32.66 32.66 32.66°
Positions (direct):
Mn  0.000  0.000  0.000
Cu  0.500  0.500  0.500
Te  0.249  0.249  0.249
Te  0.751  0.751  0.751



The following is a DFT calculation (GGA-PBEsol) of Ca2TlHg after structural relaxation.

VASP energy = -0.089 hartree per atom
calculated formation energy = -54.2 kJ per mole of atoms

Cell: 5.316 5.316 5.316 Å, 60.00 60.00 60.00°
Positions (direct):
Ca  0.250  0.250  0.250
Ca  0.750  0.750  0.750
Tl  0.000  0.000  0.000
Hg  0.500  0.500  0.500



The following is a DFT calculation (GGA-PBEsol) of CsOs3Se after structural relaxation.

VASP energy = -0.151 hartree per atom
ΔE_f (raw) = 4.167 eV/atom

Cell: 4.914 4.914 4.914 Å, 90.00 90.00 90.00°
Positions (direct):
Cs  0.000  0.000  0.000
Os  0.000  0.000  0.500
Os  0.000  0.500  0.000
Os  0.500  0.000  0.000
Se  0.500  0.500  0.500



The following is a DFT calculation (GGA-PBEsol) of Mn8O17 after structural relaxation.

VASP energy = -0.298 hartree per atom
ΔE_f (raw) = -1.429 eV/atom

Cell: 5.683 7.006 7.019 Å, 87.37 78.32 78.30°
Positions (direct):
Mn  0.075  0.017  0.181
Mn  0.166  0.319  0.515
Mn  0.334  0.681  0.484
Mn  0.424  0.983  0.820
Mn  0.576  0.017  0.180
Mn  0.666  0.319  0.516
Mn  0.834  0.681  0.485
Mn  0.925  0.983  0.819
O  0.021  0.792  0.624
O  0.148  0.549  0.359
O  0.168  0.122  0.707
O  0.172  0.858  0.954
O  0.328  0.142  0.046
O  0.332  0.878  0.293
O  0.352  0.451  0.641
O  0.479  0.206  0.378
O  0.500  0.500  0.000
O  0.521  0.794  0.622
O  0.648  0.549  0.359
O  0.668  0.122  0.707
O  0.672  0.858  0.954
O  0.828  0.142  0.046
O  0.832  0.878  0.293
O  0.852  0.451  0.641
O  0.979  0.208  0.376



The following is a DFT calculation (GGA-PBEsol) of Re3Ir after structural relaxation.

VASP energy = -0.465 hartree per atom
calculated formation energy = -20.1 kJ per mole of atoms

Cell: 4.373 5.514 4.773 Å, 90.00 90.00 90.00°
Positions (direct):
Re  0.250  0.003  0.164
Re  0.250  0.497  0.164
Re  0.250  0.750  0.673
Re  0.750  0.250  0.327
Re  0.750  0.503  0.836
Re  0.750  0.997  0.836
Ir  0.250  0.250  0.667
Ir  0.750  0.750  0.333



The following is a DFT calculation (GGA-PBEsol) of CrIClF2 after structural relaxation.

VASP energy = -0.141 hartree per atom
ΔE_f (raw) = -0.273 eV/atom

Cell: 4.207 4.207 4.945 Å, 90.00 90.00 90.00°
Positions (direct):
Cr  0.000  0.000  0.000
I  0.500  0.500  0.000
Cl  0.000  0.000  0.500
F  0.000  0.500  0.500
F  0.500  0.000  0.500



The following is a DFT calculation (GGA-PBEsol) of KCoCu2As after structural relaxation.

VASP energy = -0.084 hartree per atom
calculated formation energy = 215.4 kJ per mole of atoms

Cell: 4.579 4.579 5.304 Å, 90.00 90.00 90.00°
Positions (direct):
K  0.000  0.000  0.000
Co  0.500  0.500  0.500
Cu  0.000  0.500  0.000
Cu  0.500  0.000  0.000
As  0.000  0.000  0.500



The following is a DFT calculation (GGA-PBEsol) of Li2MgTe after structural relaxation.

VASP energy = -0.102 hartree per atom
relative energy among the computed polymorphs = 0.0 meV/atom
ΔE_f (raw) = -0.483 eV/atom

Cell: 3.841 3.841 5.844 Å, 90.00 90.00 90.00°
Positions (direct):
Li  0.000  0.000  0.000
Li  0.500  0.500  0.262
Mg  0.000  0.000  0.518
Te  0.500  0.500  0.774



The following is a DFT calculation (GGA-PBEsol) of TiAg3Os after structural relaxation.

VASP energy = -0.160 hartree per atom
calculated formation energy = 166.7 kJ per mole of atoms

Cell: 4.896 4.896 4.896 Å, 90.00 90.00 90.00°
Positions (direct):
Ti  0.000  0.000  0.000
Ag  0.000  0.500  0.500
Ag  0.500  0.000  0.500
Ag  0.500  0.500  0.000
Os  0.500  0.500  0.500



The following is a DFT calculation (GGA-PBEsol) of YSc2Be after structural relaxation.

VASP energy = -0.220 hartree per atom
calculated formation energy = 2.6 kJ per mole of atoms

Cell: 3.212 3.212 8.228 Å, 90.00 90.00 90.00°
Positions (direct):
Y  0.000  0.000  0.000
Sc  0.500  0.500  0.315
Sc  0.500  0.500  0.685
Be  0.000  0.000  0.500